CuBr (PBE-GGA, optimized geometry); energy relative to the elements, uncorrected = -0.19 eV/atom; symmetry = I-43m (217); V = 28.4 Å³ per atom; total moment = 0.0 μB per cell; crystal system = cubic
1.0
-3.8429 3.8429 3.8429
3.8429 -3.8429 3.8429
3.8429 3.8429 -3.8429
Cu Br
4 4
Cartesian
2.9153 2.9153 -2.9153 Cu
2.9153 -2.9153 2.9153 Cu
0.9276 0.9276 0.9276 Cu
-2.9153 2.9153 2.9153 Cu
1.4797 1.4797 -1.4797 Br
1.4797 -1.4797 1.4797 Br
-1.4797 1.4797 1.4797 Br
2.3632 2.3632 2.3632 Br